VASP calculation (PBE-GGA) on a geometry-optimized CuF2 structure.

Geometry as extended XYZ:
```
3
Lattice="3.147 0.000 0.000 0.000 1.366 3.457 0.000 -1.366 3.457" Properties=species:S:1:pos:R:3 pbc="T T T"
Cu 0.000 0.000 0.130
F 0.000 0.000 2.036
F 1.573 0.000 3.883
```

Values from the calculation:
**Crystal system**: orthorhombic
**Calculated total energy**: -3.668 eV/atom
**SG**: No. 38